Here is crystalline PrSmNi6B2Pt2 at its relaxed geometry from the Open Quantum Materials Database. Energies are from PBE.

```
PrSmNi6B2Pt2
1.0
5.172 0.000 0.000
-2.586 4.479 0.000
0.000 0.000 7.172
Pr Sm Ni B Pt
1 1 6 2 2
Direct
0.000 0.000 0.000
0.000 0.000 0.500
0.000 0.500 0.195
0.000 0.500 0.805
0.500 0.000 0.195
0.500 0.000 0.805
0.500 0.500 0.195
0.500 0.500 0.805
0.333 0.667 0.000
0.667 0.333 0.000
0.333 0.667 0.500
0.667 0.333 0.500
```

Results
final energy	-6.263	eV per atom
calculated volume	166.16	Å³ per cell